Record 1
! LiHgRh2 PBE optimized geometry; values from VASP
! **DOS(E_F)**: 1.24 states/eV per atom
! **Space group**: Imm2 (44)
! **Calculated volume**: 62 Å³ per cell
! **E**: -4.18 eV/atom
! **Energy relative to the elements**: 0.211 eV/f.u.
! **Crystal system**: orthorhombic
&SYSTEM
  ibrav = 0, nat = 4, ntyp = 3
/
ATOMIC_SPECIES
Hg 200.59 Hg.upf
Li 6.94 Li.upf
Rh 102.91 Rh.upf
CELL_PARAMETERS angstrom
5.261 0.010 0.011
2.391 4.687 -0.011
-3.267 -3.258 2.527
ATOMIC_POSITIONS angstrom
Hg 3.774 2.317 0.000
Li 1.424 1.857 1.258
Rh 0.013 0.008 0.000
Rh 2.999 -0.395 1.269



Record 2
! Li2HgRh PBE optimized geometry; values from VASP
! **DOS(E_F)**: 0.33 states/eV per atom
! **Space group**: P4mm (99)
! **Calculated volume**: 63 Å³ per cell
! **E**: -3.00 eV/atom
! **Energy relative to the elements**: -0.519 eV/f.u.
! **Crystal system**: tetragonal
&SYSTEM
  ibrav = 0, nat = 4, ntyp = 3
/
ATOMIC_SPECIES
Hg 200.59 Hg.upf
Li 6.94 Li.upf
Rh 102.91 Rh.upf
CELL_PARAMETERS angstrom
-2.877 -1.494 -0.283
0.983 -2.289 2.094
-2.119 3.226 4.520
ATOMIC_POSITIONS angstrom
Hg -2.532 0.522 4.287
Li -0.027 0.042 0.059
Li -1.516 -1.026 2.118
Rh -0.997 1.518 2.127



Record 3
! Li7Hg2Rh PBE optimized geometry; values from VASP
! **DOS(E_F)**: 0.66 states/eV per atom
! **Space group**: P3m1 (156)
! **Calculated volume**: 170 Å³ per cell
! **E**: -2.28 eV/atom
! **Energy relative to the elements**: -1.482 eV/f.u.
! **Crystal system**: trigonal
&SYSTEM
  ibrav = 0, nat = 10, ntyp = 3
/
ATOMIC_SPECIES
Li 6.94 Li.upf
Hg 200.59 Hg.upf
Rh 102.91 Rh.upf
CELL_PARAMETERS angstrom
-0.709 -0.699 4.331
4.152 0.356 -1.542
-0.269 9.799 1.537
ATOMIC_POSITIONS angstrom
Li 2.428 3.789 1.009
Li 2.494 1.382 0.632
Li -0.089 3.246 0.509
Li -0.209 7.603 1.192
Li 0.767 4.923 3.200
Li 0.654 9.017 3.842
Li 2.286 8.957 1.819
Hg 0.850 1.903 2.726
Hg 2.357 6.389 1.417
Rh -0.016 0.599 0.094



Record 4
! LiHgRh2 PBE optimized geometry; values from VASP
! **DOS(E_F)**: 1.25 states/eV per atom
! **Space group**: P4/mmm (123)
! **Calculated volume**: 61 Å³ per cell
! **E**: -4.11 eV/atom
! **Energy relative to the elements**: 0.469 eV/f.u.
! **Crystal system**: tetragonal
&SYSTEM
  ibrav = 0, nat = 4, ntyp = 3
/
ATOMIC_SPECIES
Hg 200.59 Hg.upf
Li 6.94 Li.upf
Rh 102.91 Rh.upf
CELL_PARAMETERS angstrom
-0.425 3.002 0.804
0.660 -0.706 2.984
5.978 1.129 -1.055
ATOMIC_POSITIONS angstrom
Hg 1.612 1.430 1.630
Li 4.601 1.994 1.103
Rh 5.756 1.087 -1.016
Rh 3.211 0.606 -0.567



Record 5
! LiHgRh2 PBE optimized geometry; values from VASP
! **DOS(E_F)**: 1.16 states/eV per atom
! **Space group**: R-3m (166)
! **Calculated volume**: 63 Å³ per cell
! **E**: -4.08 eV/atom
! **Energy relative to the elements**: 0.618 eV/f.u.
! **Crystal system**: trigonal
&SYSTEM
  ibrav = 0, nat = 4, ntyp = 3
/
ATOMIC_SPECIES
Hg 200.59 Hg.upf
Li 6.94 Li.upf
Rh 102.91 Rh.upf
CELL_PARAMETERS angstrom
9.056 0.000 0.000
8.606 2.820 0.000
8.606 1.374 2.462
ATOMIC_POSITIONS angstrom
Hg 6.567 1.048 0.616
Li 19.701 3.145 1.847
Rh 0.118 0.019 0.011
Rh 13.016 2.078 1.220



Record 6
! Li2HgRh PBE optimized geometry; values from VASP
! **DOS(E_F)**: 0.42 states/eV per atom
! **Space group**: I-42d (122)
! **Calculated volume**: 131 Å³ per cell
! **E**: -2.88 eV/atom
! **Energy relative to the elements**: -0.052 eV/f.u.
! **Crystal system**: tetragonal
&SYSTEM
  ibrav = 0, nat = 8, ntyp = 3
/
ATOMIC_SPECIES
Rh 102.91 Rh.upf
Hg 200.59 Hg.upf
Li 6.94 Li.upf
CELL_PARAMETERS angstrom
-6.320 0.867 2.815
-1.029 -6.894 -0.186
-2.606 -3.239 3.783
ATOMIC_POSITIONS angstrom
Rh -3.674 -3.013 1.315
Rh -3.655 -6.573 2.456
Hg 0.000 0.000 0.000
Hg -6.300 -2.692 3.956
Li -4.637 -1.142 2.641
Li -2.177 -4.997 1.223
Li -4.725 -4.790 3.820
Li -8.370 -7.601 5.140



Please write out number 2 again, unchanged.
! Li2HgRh PBE optimized geometry; values from VASP
! **DOS(E_F)**: 0.33 states/eV per atom
! **Space group**: P4mm (99)
! **Calculated volume**: 63 Å³ per cell
! **E**: -3.00 eV/atom
! **Energy relative to the elements**: -0.519 eV/f.u.
! **Crystal system**: tetragonal
&SYSTEM
  ibrav = 0, nat = 4, ntyp = 3
/
ATOMIC_SPECIES
Hg 200.59 Hg.upf
Li 6.94 Li.upf
Rh 102.91 Rh.upf
CELL_PARAMETERS angstrom
-2.877 -1.494 -0.283
0.983 -2.289 2.094
-2.119 3.226 4.520
ATOMIC_POSITIONS angstrom
Hg -2.532 0.522 4.287
Li -0.027 0.042 0.059
Li -1.516 -1.026 2.118
Rh -0.997 1.518 2.127



Number 5 is which compound? LiHgRh2